Tb2Pr3Dy2 | PBE-GGA | optimized geometry

Cell lengths 17.711, 3.541, 8.638 Å; angles 90.00, 118.67, 90.00 degrees
Space group C2/m (No. 12)
Asymmetric unit:
Tb 0.064 0.000 0.410 [4 per cell]
Pr 0.000 0.500 0.000 [2 per cell]
Pr 0.214 0.500 0.299 [4 per cell]
Dy 0.144 0.500 0.824 [4 per cell]

Values from the calculation:
crystal system: monoclinic
relative energy among the computed polymorphs: 73 meV/atom
Fermi-level density of states: 1.50 states/eV/atom
energy of formation: 0.11 eV per atom